First-principles (PBE) data for a relaxed Na6Cu crystal, as listed in Alexandria.

Cell: 7.5611 7.5611 7.5611 Å, 109.47 109.47 109.47°
With the nearest neighbours (Å) after each atom.
Fractional coordinates of all 7 atoms:
Na: 0.2500 0.5000 0.7500  4 Na 3.09
Na: 0.2500 0.7500 0.5000  4 Na 3.09
Na: 0.5000 0.2500 0.7500  4 Na 3.09
Na: 0.5000 0.7500 0.2500  4 Na 3.09
Na: 0.7500 0.2500 0.5000  4 Na 3.09
Na: 0.7500 0.5000 0.2500  4 Na 3.09
Cu: 0.0000 0.0000 0.0000  24 Na 4.88

- density of states at the Fermi level (states/eV/cell) = 5.1
- total energy (eV/cell) = -7.30



First-principles (PBE) data for a relaxed Tl8HgTe4 crystal, as listed in Alexandria.

Cell: 8.4204 8.4204 8.4204 Å, 70.81 70.81 70.81°
With the nearest neighbours (Å) after each atom.
Fractional coordinates of all 13 atoms:
Tl: 0.2359 0.7471 0.7471  1 Hg 3.22, 3 Te 3.23-3.31
Tl: 0.2425 0.2425 0.2425  3 Te 3.29
Tl: 0.2529 0.2529 0.7641  1 Hg 3.22, 3 Te 3.23-3.31
Tl: 0.2529 0.7641 0.2529  1 Hg 3.22, 3 Te 3.23-3.31
Tl: 0.7471 0.2359 0.7471  1 Hg 3.22, 3 Te 3.23-3.31
Tl: 0.7471 0.7471 0.2359  1 Hg 3.22, 3 Te 3.23-3.31
Tl: 0.7575 0.7575 0.7575  3 Te 3.29
Tl: 0.7641 0.2529 0.2529  1 Hg 3.22, 3 Te 3.23-3.31
Hg: 0.5000 0.5000 0.5000  6 Tl 3.22
Te: 0.0000 0.0000 0.0000  6 Tl 3.23
Te: 0.0000 0.5000 0.5000  6 Tl 3.29-3.31
Te: 0.5000 0.0000 0.5000  6 Tl 3.29-3.31
Te: 0.5000 0.5000 0.0000  6 Tl 3.29-3.31

- E_form (uncorrected) (meV/atom) = -242.4
- density of states at the Fermi level (states/eV/cell) = 0.3